(1)
A plane-wave DFT calculation with PBE was carried out for an optimized crystal structure of YAgAsO4.

```
YAgAsO4
1.0
-3.004 3.588 4.575
3.004 -3.588 4.575
3.004 3.588 -4.575
Y Ag As O
2 2 2 8
Direct
0.000 0.000 0.000
0.500 0.000 0.500
0.500 0.000 0.000
0.500 0.500 0.500
0.105 0.355 0.750
0.895 0.645 0.250
0.214 0.747 0.467
0.220 0.253 0.967
0.229 0.235 0.506
0.229 0.724 0.994
0.771 0.276 0.006
0.771 0.765 0.494
0.780 0.747 0.033
0.786 0.253 0.533
```

Summary:
SG: No. 74
E_form (uncorrected), meV per atom: -1617

***

(2)
A plane-wave DFT calculation with PBE was carried out for an optimized crystal structure of Y3Ag3AsO8.

```
Y3Ag3AsO8
1.0
3.395 1.960 5.713
-3.395 1.960 5.713
0.000 -3.920 5.713
Y Ag As O
3 3 1 8
Direct
0.000 0.500 0.500
0.500 0.000 0.500
0.500 0.500 0.000
0.000 0.000 0.500
0.000 0.500 0.000
0.500 0.000 0.000
0.000 0.000 0.000
0.209 0.209 0.769
0.209 0.769 0.209
0.231 0.791 0.791
0.271 0.271 0.271
0.729 0.729 0.729
0.769 0.209 0.209
0.791 0.231 0.791
0.791 0.791 0.231
```

Summary:
SG: No. 166
E_form (uncorrected), meV per atom: -1849

***

(3)
A plane-wave DFT calculation with PBE was carried out for an optimized crystal structure of Zn3AgAs3O12.

```
Zn3AgAs3O12
1.0
5.907 -6.497 0.000
5.907 6.497 0.000
-2.683 0.000 6.362
Zn Ag As O
6 2 6 24
Direct
0.127 0.456 0.880
0.214 0.786 0.750
0.456 0.127 0.380
0.544 0.873 0.620
0.786 0.214 0.250
0.873 0.544 0.120
0.499 0.501 0.250
0.501 0.499 0.750
0.157 0.391 0.387
0.192 0.808 0.250
0.391 0.157 0.887
0.609 0.843 0.113
0.808 0.192 0.750
0.843 0.609 0.613
0.006 0.234 0.764
0.029 0.221 0.341
0.110 0.477 0.187
0.177 0.524 0.632
0.221 0.029 0.841
0.228 0.696 0.021
0.234 0.006 0.264
0.304 0.772 0.479
0.364 0.367 0.421
0.367 0.364 0.921
0.476 0.823 0.868
0.477 0.110 0.687
0.523 0.890 0.313
0.524 0.177 0.132
0.633 0.636 0.079
0.636 0.633 0.579
0.696 0.228 0.521
0.766 0.994 0.736
0.772 0.304 0.979
0.779 0.971 0.159
0.823 0.476 0.368
0.890 0.523 0.813
0.971 0.779 0.659
0.994 0.766 0.236
```

Summary:
SG: No. 15
E_form (uncorrected), meV per atom: -1034

***

(4)
A plane-wave DFT calculation with PBE was carried out for an optimized crystal structure of ZnAg2AsO4.

```
ZnAg2AsO4
1.0
-2.629 2.629 4.322
2.629 -2.629 4.322
2.629 2.629 -4.322
Zn Ag As O
1 2 1 4
Direct
0.000 0.000 0.000
0.250 0.750 0.500
0.500 0.500 0.000
0.750 0.250 0.500
0.025 0.594 0.886
0.406 0.292 0.431
0.708 0.139 0.114
0.861 0.975 0.569
```

Summary:
SG: No. 82
E_form (uncorrected), meV per atom: -782

***

(5)
A plane-wave DFT calculation with PBE was carried out for an optimized crystal structure of ZnAgAs2O6.

```
ZnAgAs2O6
1.0
5.649 -5.218 0.000
5.649 5.218 0.000
-3.155 0.000 5.368
Zn Ag As O
2 2 4 12
Direct
0.212 0.788 0.750
0.788 0.212 0.250
0.129 0.871 0.250
0.871 0.129 0.750
0.219 0.376 0.360
0.376 0.219 0.860
0.624 0.781 0.140
0.781 0.624 0.640
0.024 0.215 0.178
0.155 0.604 0.412
0.215 0.024 0.678
0.325 0.368 0.680
0.368 0.325 0.180
0.396 0.845 0.088
0.604 0.155 0.912
0.632 0.675 0.820
0.675 0.632 0.320
0.785 0.976 0.322
0.845 0.396 0.588
0.976 0.785 0.822
```

Summary:
SG: No. 15
E_form (uncorrected), meV per atom: -981

***

(6)
A plane-wave DFT calculation with PBE was carried out for an optimized crystal structure of ZnAgAsO4.

```
ZnAgAsO4
1.0
-2.547 2.547 4.195
2.547 -2.547 4.195
2.547 2.547 -4.195
Zn Ag As O
1 1 1 4
Direct
0.000 0.000 0.000
0.750 0.250 0.500
0.250 0.750 0.500
0.141 0.702 0.109
0.298 0.407 0.438
0.593 0.031 0.891
0.969 0.859 0.562
```

Summary:
SG: No. 82
E_form (uncorrected), meV per atom: -1063

***

(7)
A plane-wave DFT calculation with PBE was carried out for an optimized crystal structure of ZnAgAsO5.

```
ZnAgAsO5
1.0
8.159 0.000 0.000
0.000 6.295 0.000
0.000 0.000 9.121
Zn Ag As O
4 4 4 20
Direct
0.047 0.250 0.192
0.453 0.750 0.692
0.547 0.250 0.308
0.953 0.750 0.808
0.000 0.000 0.500
0.000 0.500 0.500
0.500 0.000 0.000
0.500 0.500 0.000
0.142 0.750 0.139
0.358 0.250 0.639
0.642 0.750 0.361
0.858 0.250 0.861
0.015 0.250 0.983
0.093 0.750 0.618
0.146 0.528 0.248
0.146 0.972 0.248
0.168 0.250 0.541
0.332 0.750 0.041
0.354 0.028 0.748
0.354 0.472 0.748
0.407 0.250 0.118
0.485 0.750 0.483
0.515 0.250 0.517
0.593 0.750 0.882
0.646 0.528 0.252
0.646 0.972 0.252
0.668 0.250 0.959
0.832 0.750 0.459
0.854 0.028 0.752
0.854 0.472 0.752
0.907 0.250 0.382
0.985 0.750 0.017
```

Summary:
SG: No. 62
E_form (uncorrected), meV per atom: -814

***

(8)
A plane-wave DFT calculation with PBE was carried out for an optimized crystal structure of ZrAgAsO5.

```
ZrAgAsO5
1.0
3.737 -4.536 0.000
3.737 4.536 0.000
-3.494 0.000 7.025
Zr Ag As O
2 2 2 10
Direct
0.000 0.000 0.000
0.000 0.000 0.500
0.318 0.682 0.750
0.682 0.318 0.250
0.330 0.670 0.250
0.670 0.330 0.750
0.068 0.932 0.750
0.149 0.705 0.389
0.260 0.365 0.107
0.295 0.851 0.111
0.365 0.260 0.607
0.635 0.740 0.393
0.705 0.149 0.889
0.740 0.635 0.893
0.851 0.295 0.611
0.932 0.068 0.250
```

Summary:
SG: No. 15
E_form (uncorrected), meV per atom: -1793

***

(9)
A plane-wave DFT calculation with PBE was carried out for an optimized crystal structure of Ag2AsOs.

```
Ag2AsOs
1.0
3.076 0.000 0.000
0.000 3.076 0.000
0.000 0.000 7.246
Ag As Os
2 1 1
Direct
0.000 0.000 0.000
0.500 0.500 0.264
0.000 0.000 0.556
0.500 0.500 0.727
```

Summary:
Formation enthalpy at 0 K, meV/atom: 276.1
SG: No. 99

***

(10)
A plane-wave DFT calculation with PBE was carried out for an optimized crystal structure of Ag2AsOs.

```
Ag2AsOs
1.0
4.305 0.000 0.000
0.000 1.456 5.466
0.000 -1.456 5.466
Ag As Os
2 1 1
Direct
0.000 0.000 0.000
0.500 0.374 0.374
0.500 0.641 0.641
0.000 0.739 0.739
```

Summary:
Formation enthalpy at 0 K, meV/atom: 457.4
SG: No. 38

***

(11)
A plane-wave DFT calculation with PBE was carried out for an optimized crystal structure of Ag2AsOs.

```
Ag2AsOs
1.0
3.110 0.000 0.000
0.000 4.334 0.000
0.000 0.000 4.933
Ag As Os
2 1 1
Direct
0.000 0.000 0.000
0.500 0.500 0.000
0.000 0.500 0.500
0.500 0.000 0.500
```

Summary:
Formation enthalpy at 0 K, meV/atom: 599.7
SG: No. 47

***

(12)
A plane-wave DFT calculation with PBE was carried out for an optimized crystal structure of Ag2AsOs.

```
Ag2AsOs
1.0
2.761 0.000 0.000
0.000 2.761 0.000
0.000 0.000 9.020
Ag As Os
2 1 1
Direct
0.000 0.000 0.238
0.000 0.000 0.762
0.500 0.500 0.500
0.500 0.500 0.000
```

Summary:
Formation enthalpy at 0 K, meV/atom: 625.3
SG: No. 123